A plane-wave DFT calculation with PBE-GGA was carried out for VSiMo after structural relaxation.

Results
space group	I4mm (107)
raw formation energy	-0.33	eV per atom
total magnetic moment	0.00	μB per formula unit

```
6
Lattice="3.1840 0.0000 0.0000 0.0000 3.1840 0.0000 0.0000 0.0000 8.2444" Properties=species:S:1:pos:R:3 pbc="T T T"
Si 1.5920 1.5920 0.7175
Si 0.0000 0.0000 4.8397
V 1.5920 1.5920 3.4523
V 0.0000 0.0000 7.5745
Mo 0.0000 0.0000 2.1152
Mo 1.5920 1.5920 6.2374
```